Entry 1:
ZrSi2Br: optimized geometry, PBE.

Results
The calculation puts the energy above the most stable polymorph in this dataset at 0.275 eV/atom. The value obtained for the formation energy without anion corrections is -0.4 eV/f.u. The total energy comes out at -5.3699 eV/atom. The value obtained for the calculated density is 4.07 Mg/m³. As for the density of states at the Fermi level: 1.68 states/eV/f.u.

a = 9.6374 Å, b = 3.6388 Å, c = 5.3040 Å
α = 90.00°, β = 93.44°, γ = 90.00°
Closest atoms and distances in Å follow each position.
Space group C2/m (No. 12)
Symmetry-distinct sites (fractional):
Zr 0.0000 0.0000 0.0000 x2  6 Si 2.78-2.86
Si 0.2135 0.5000 0.1098 x4  2 Si 2.29
Br 0.0000 0.5000 0.5000 x2  2 Si 3.00, 4 Zr 3.22



Entry 2:
CaEr2ZnRh4: optimized geometry, PBE.

Results
The total energy comes out at -5.8889 eV/atom. The value obtained for the calculated density is 9.80 Mg/m³. As for the density of states at the Fermi level: 2.07 states/eV/f.u.

a = 4.6502 Å, b = 4.6502 Å, c = 23.1129 Å
α = 90.00°, β = 90.00°, γ = 120.00°
Closest atoms and distances in Å follow each position.
Space group R-3m (No. 166, hexagonal axes)
Symmetry-distinct sites (fractional):
Ca 0.0000 0.0000 0.0000 x3  8 Rh 2.91-2.96
Er 0.0000 0.0000 0.2450 x6  7 Rh 2.70-2.84
Zn 0.0000 0.0000 0.5000 x3  8 Rh 2.74-2.83
Rh 0.0000 0.0000 0.1281 x6  4 Er 2.70-2.84, 3 Zn 2.83, 1 Ca 2.96
Rh 0.0000 0.0000 0.3814 x6  1 Zn 2.74, 3 Er 2.84, 3 Ca 2.91



Entry 3:
Sm7Ho12Er: optimized geometry, PBE.

Results
The calculation puts the energy above the most stable polymorph in this dataset at 0.000 eV/atom. The total energy comes out at -4.3900 eV/atom. The value obtained for the calculated density is 8.02 Mg/m³. As for the density of states at the Fermi level: 35.99 states/eV/f.u.

a = 11.9226 Å, b = 11.9226 Å, c = 16.1497 Å
α = 90.00°, β = 90.00°, γ = 120.00°
Closest atoms and distances in Å follow each position.
Space group R-3 (No. 148, hexagonal axes)
Symmetry-distinct sites (fractional):
Sm 0.0000 0.0000 0.0000 x3  6 Ho 3.29
Sm 0.0556 0.1890 0.2903 x18  3 Sm 3.42-3.47, 7 Ho 3.45-3.80
Ho 0.0247 0.4500 0.2215 x18  4 Ho 3.25-3.60, 1 Er 3.39, 2 Sm 3.49-3.58
Ho 0.0513 0.5860 0.5829 x18  5 Ho 3.22-3.60, 2 Sm 3.29-3.45
Er 0.0000 0.0000 0.5000 x3  6 Ho 3.39



Entry 4:
CdAsIr2: optimized geometry, PBE.

Results
The calculation puts the energy above the most stable polymorph in this dataset at 0.078 eV/atom. The total energy comes out at -5.6528 eV/atom. The value obtained for the calculated density is 13.77 Mg/m³. As for the density of states at the Fermi level: 3.21 states/eV/f.u.

a = 2.8640 Å, b = 3.8743 Å, c = 6.2157 Å
α = 90.00°, β = 90.00°, γ = 90.00°
Closest atoms and distances in Å follow each position.
Space group Pmm2 (No. 25)
Symmetry-distinct sites (fractional):
Cd 0.0000 0.0000 0.0000 x1  2 Cd 2.86, 6 Ir 2.87-3.18
As 0.5000 0.5000 0.6532 x1  5 Ir 2.50-2.62
Ir 0.0000 0.0000 0.4883 x1  4 As 2.62, 6 Ir 2.83-2.86
Ir 0.5000 0.5000 0.2507 x1  1 As 2.50



Entry 5:
GePb2Au4: optimized geometry, PBE.

Results
The total energy comes out at -3.6422 eV/atom. The value obtained for the calculated density is 13.23 Mg/m³. As for the density of states at the Fermi level: 1.76 states/eV/f.u.

a = 5.9946 Å, b = 6.2552 Å, c = 8.9024 Å
α = 90.00°, β = 106.55°, γ = 90.00°
Closest atoms and distances in Å follow each position.
Space group P2_1/m (No. 11)
Symmetry-distinct sites (fractional):
Ge 0.1193 0.2500 0.2826 x2  4 Au 2.55-2.58
Pb 0.1349 0.2500 0.8970 x2  7 Au 3.01-3.27
Pb 0.2840 0.7500 0.5165 x2  6 Au 3.01-3.25
Au 0.2390 0.2500 0.5854 x2  1 Ge 2.58
Au 0.2956 0.7500 0.8985 x2  1 Ge 2.55
Au 0.3791 0.5242 0.1969 x4  1 Ge 2.57, 1 Au 2.82



Entry 6:
Pm6HC2I3: optimized geometry, PBE.

Results
The total energy comes out at -5.2172 eV/atom. The value obtained for the calculated density is 7.06 Mg/m³. As for the density of states at the Fermi level: 5.53 states/eV/f.u.

a = 6.7382 Å, b = 11.6435 Å, c = 7.9738 Å
α = 90.00°, β = 106.53°, γ = 90.00°
Closest atoms and distances in Å follow each position.
Space group C2/m (No. 12)
Symmetry-distinct sites (fractional):
Pm 0.2079 0.0000 0.1767 x4  2 C 2.56, 1 H 2.73
Pm 0.2328 0.3253 0.1753 x8  2 C 2.57-2.58, 1 H 2.70
H 0.0000 0.5000 0.0000 x2  6 Pm 2.70-2.73
C 0.0000 0.1659 0.0000 x4  6 Pm 2.56-2.58
I 0.0000 0.0000 0.5000 x2  6 Pm 3.27-3.38
I 0.0000 0.3334 0.5000 x4  6 Pm 3.27-3.39